First-principles (PBE-GGA) data for an optimized crystal structure of Nd2Hg3Au, as listed in Alexandria via LeMat-Bulk.

V = 25.2 Å³/atom
calculated formation energy = -520 meV per atom
SG = Pmm2

Cell: 3.5209 4.9708 8.6252 Å, 90.00 90.00 90.00°
Fractional coordinates of all 6 atoms:
Nd 0.0000 0.0000 0.0000
Nd 0.0000 0.5000 0.4747
Hg 0.5000 0.0000 0.6500
Hg 0.5000 0.5000 0.1544
Hg 0.5000 0.5000 0.8187
Au 0.5000 0.0000 0.3195

***

First-principles (PBE-GGA) data for an optimized crystal structure of NdHg5Au, as listed in Alexandria via LeMat-Bulk.

V = 25.5 Å³/atom
calculated formation energy = -260 meV per atom
SG = P4/mmm

Cell: 4.9709 4.9709 7.2288 Å, 90.00 90.00 90.00°
Fractional coordinates of all 7 atoms:
Nd 0.0000 0.0000 0.0000
Hg 0.0000 0.5000 0.2870
Hg 0.0000 0.5000 0.7130
Hg 0.5000 0.0000 0.2870
Hg 0.5000 0.0000 0.7130
Hg 0.5000 0.5000 0.0000
Au 0.0000 0.0000 0.5000

***

First-principles (PBE-GGA) data for an optimized crystal structure of Nd12Hg3Au5, as listed in Alexandria via LeMat-Bulk.

V = 35.4 Å³/atom
calculated formation energy = -188 meV per atom
SG = Ia-3d

Cell: 15.4421 15.4421 15.4421 Å, 109.47 109.47 109.47°
Fractional coordinates of all 80 atoms:
Nd 0.0503 0.2197 0.1310
Nd 0.0503 0.3305 0.9192
Nd 0.0808 0.6310 0.4113
Nd 0.0808 0.9497 0.6695
Nd 0.0887 0.7197 0.6695
Nd 0.0887 0.8690 0.4192
Nd 0.1310 0.0503 0.2197
Nd 0.1310 0.5808 0.9113
Nd 0.1695 0.2197 0.5887
Nd 0.1695 0.4497 0.5808
Nd 0.2197 0.1310 0.0503
Nd 0.2197 0.5887 0.1695
Nd 0.2803 0.3305 0.9113
Nd 0.2803 0.4497 0.3690
Nd 0.3305 0.9113 0.2803
Nd 0.3305 0.9192 0.0503
Nd 0.3690 0.2803 0.4497
Nd 0.3690 0.5887 0.9192
Nd 0.4113 0.0808 0.6310
Nd 0.4113 0.8305 0.7803
Nd 0.4192 0.0887 0.8690
Nd 0.4192 0.8305 0.5503
Nd 0.4497 0.3690 0.2803
Nd 0.4497 0.5808 0.1695
Nd 0.5503 0.4192 0.8305
Nd 0.5503 0.6310 0.7197
Nd 0.5808 0.1695 0.4497
Nd 0.5808 0.9113 0.1310
Nd 0.5887 0.1695 0.2197
Nd 0.5887 0.9192 0.3690
Nd 0.6310 0.4113 0.0808
Nd 0.6310 0.7197 0.5503
Nd 0.6695 0.0808 0.9497
Nd 0.6695 0.0887 0.7197
Nd 0.7197 0.5503 0.6310
Nd 0.7197 0.6695 0.0887
Nd 0.7803 0.4113 0.8305
Nd 0.7803 0.8690 0.9497
Nd 0.8305 0.5503 0.4192
Nd 0.8305 0.7803 0.4113
Nd 0.8690 0.4192 0.0887
Nd 0.8690 0.9497 0.7803
Nd 0.9113 0.1310 0.5808
Nd 0.9113 0.2803 0.3305
Nd 0.9192 0.0503 0.3305
Nd 0.9192 0.3690 0.5887
Nd 0.9497 0.6695 0.0808
Nd 0.9497 0.7803 0.8690
Hg 0.1250 0.2500 0.3750
Hg 0.1250 0.3750 0.7500
Hg 0.2500 0.3750 0.1250
Hg 0.2500 0.8750 0.6250
Hg 0.3750 0.1250 0.2500
Hg 0.3750 0.7500 0.1250
Hg 0.6250 0.2500 0.8750
Hg 0.6250 0.8750 0.7500
Hg 0.7500 0.1250 0.3750
Hg 0.7500 0.6250 0.8750
Hg 0.8750 0.6250 0.2500
Hg 0.8750 0.7500 0.6250
Au 0.0000 0.0000 0.0000
Au 0.0000 0.0000 0.5000
Au 0.0000 0.5000 0.0000
Au 0.0000 0.5000 0.5000
Au 0.1250 0.7500 0.8750
Au 0.1250 0.8750 0.2500
Au 0.2500 0.1250 0.8750
Au 0.2500 0.6250 0.3750
Au 0.3750 0.2500 0.6250
Au 0.3750 0.6250 0.7500
Au 0.5000 0.0000 0.0000
Au 0.5000 0.0000 0.5000
Au 0.5000 0.5000 0.0000
Au 0.5000 0.5000 0.5000
Au 0.6250 0.3750 0.2500
Au 0.6250 0.7500 0.3750
Au 0.7500 0.3750 0.6250
Au 0.7500 0.8750 0.1250
Au 0.8750 0.1250 0.7500
Au 0.8750 0.2500 0.1250

***

E_tot list, top to bottom, in eV/atom: -2.81, -1.63, -3.91